[1]
DFT (GGA-PBE) results for crystalline SrBeIn at its relaxed geometry.

Values from the calculation:
SG ... P-6m2
E_form ... -0.01 eV/atom
Offset from the most stable computed form ... 0.000 eV per atom

POSCAR file:
```
SrBeIn
1.0
4.5577 0.0000 0.0000
-2.2788 3.9471 0.0000
0.0000 0.0000 4.3557
Sr Be In
1 1 1
direct
0.3333 0.6667 0.6667
0.0000 0.0000 0.1667
0.6667 0.3333 0.1666
```

***

[2]
DFT (GGA-PBE) results for crystalline HoTmGeS at its relaxed geometry.

Values from the calculation:
SG ... R3m
E_tot ... -23.5 eV per cell

POSCAR file:
```
HoTmGeS
1.0
-0.7699 -1.2301 -3.7307
-3.5707 -1.5747 -0.8915
-3.7096 5.0482 -3.0466
Ho Tm Ge S
1 1 1 1
direct
0.6936 0.6936 0.9191
0.1945 0.1945 0.4165
0.9433 0.9433 0.1701
0.4450 0.4450 0.6650
```

***

[3]
DFT (GGA-PBE) results for crystalline La2BeAg at its relaxed geometry.

Values from the calculation:
SG ... I-42d
E_form ... 0.61 eV/atom

POSCAR file:
```
La2BeAg
1.0
-1.6867 -4.3165 1.2470
4.0049 -2.0481 -1.6727
5.3618 -2.2480 8.7057
Be Ag La
2 2 4
direct
0.5000 0.5000 0.0000
0.2500 0.7500 0.5000
0.0000 0.0000 0.0000
0.7500 0.2500 0.5000
0.5908 0.1250 0.2500
0.1592 0.6250 0.2500
0.3750 0.4092 0.7500
0.8750 0.8408 0.7500
```

***

[4]
DFT (GGA-PBE) results for crystalline Y2V2Bi at its relaxed geometry.

Values from the calculation:
SG ... P4/mbm
E_form ... 0.04 eV/atom

POSCAR file:
```
Y2V2Bi
1.0
-2.3320 2.7756 6.5238
-1.5626 -6.9000 2.3771
3.9491 -0.3559 1.5631
Y Bi V
4 2 4
direct
0.1905 0.6905 0.5000
0.6905 0.8095 0.5000
0.8095 0.3095 0.5000
0.3095 0.1905 0.5000
0.0000 0.0000 0.0000
0.5000 0.5000 0.0000
0.4096 0.9096 0.0000
0.9096 0.5904 0.0000
0.5904 0.0904 0.0000
0.0904 0.4096 0.0000
```

***

no.,theoretical density (Mg/m³)
1,4.48
2,7.99
3,5.75
4,6.84